No. 1
InGa2Au3: optimized geometry, PBE.

Properties
VASP energy ... -3.281 eV per atom
Energy of formation ... -0.177 eV/atom
Calculated density ... 11.5 g cm⁻³

CIF file:
```
data_InGa2Au3
_chemical_formula_sum 'In2 Ga4 Au6'
_cell_length_a 6.528
_cell_length_b 4.403
_cell_length_c 8.554
_cell_angle_alpha 90.00
_cell_angle_beta 95.93
_cell_angle_gamma 90.00
_space_group_name_H-M_alt 'P 1 21/m 1'
_space_group_IT_number 11
loop_
_space_group_symop_operation_xyz
'x,y,z'
'-x,-y,-z'
'-x,y+1/2,-z'
'x,-y+1/2,z'
loop_
_atom_site_label
_atom_site_fract_x
_atom_site_fract_y
_atom_site_fract_z
In1 0.086 0.250 0.348
Ga1 0.209 0.250 0.986
Ga2 0.419 0.250 0.687
Au1 0.193 0.750 0.158
Au2 0.295 0.750 0.511
Au3 0.334 0.750 0.847
```

No. 2
Pm2SmSe4: optimized geometry, PBE.

Properties
Formation energy from raw total energies ... -1854 meV per atom
VASP energy ... -5.876 eV per atom
Energy above the lowest structure with this stoichiometry ... 0.0 kJ/mol of atoms
Calculated density ... 6.3 g cm⁻³

CIF file:
```
data_Pm2SmSe4
_chemical_formula_sum 'Pm8 Sm4 Se16'
_cell_length_a 4.064
_cell_length_b 13.867
_cell_length_c 14.081
_cell_angle_alpha 90.00
_cell_angle_beta 90.00
_cell_angle_gamma 90.00
_space_group_name_H-M_alt 'C m c m'
_space_group_IT_number 63
_space_group_name_Hall '-C 2c 2'
loop_
_atom_site_label
_atom_site_fract_x
_atom_site_fract_y
_atom_site_fract_z
Pm1 0.000 0.130 0.070
Sm1 0.000 0.373 0.250
Se1 0.000 0.027 0.250
Se2 0.000 0.222 0.624
Se3 0.000 0.500 0.000
```

No. 3
Ce2ZnAg: optimized geometry, PBE.

Properties
VASP energy ... -4.123 eV per atom
Energy of formation ... -0.125 eV/atom
Calculated density ... 7.7 g cm⁻³

CIF file:
```
data_Ce2ZnAg
_chemical_formula_sum 'Ce2 Zn1 Ag1'
_cell_length_a 3.840
_cell_length_b 3.840
_cell_length_c 6.596
_cell_angle_alpha 90.00
_cell_angle_beta 90.00
_cell_angle_gamma 90.00
_space_group_name_H-M_alt 'P 4/m m m'
_space_group_IT_number 123
_space_group_name_Hall '-P 4 2'
loop_
_atom_site_label
_atom_site_fract_x
_atom_site_fract_y
_atom_site_fract_z
Ce1 0.000 0.000 0.219
Zn1 0.500 0.500 0.000
Ag1 0.500 0.500 0.500
```

No. 4
Li2AgF4: optimized geometry, PBE.

Properties
Formation energy from raw total energies ... -2129 meV per atom
VASP energy ... -4.153 eV per atom
Energy above the lowest structure with this stoichiometry ... 1.5 kJ/mol of atoms
Calculated density ... 3.7 g cm⁻³

CIF file:
```
data_Li2AgF4
_chemical_formula_sum 'Li4 Ag2 F8'
_cell_length_a 5.347
_cell_length_b 3.320
_cell_length_c 10.701
_cell_angle_alpha 90.00
_cell_angle_beta 109.93
_cell_angle_gamma 90.00
_space_group_name_H-M_alt 'P 1 2/c 1'
_space_group_IT_number 13
loop_
_space_group_symop_operation_xyz
'x,y,z'
'-x,-y,-z'
'-x,y,-z+1/2'
'x,-y,z+1/2'
loop_
_atom_site_label
_atom_site_fract_x
_atom_site_fract_y
_atom_site_fract_z
Li1 0.154 0.002 0.423
Ag1 0.500 0.498 0.750
F1 0.225 0.002 0.112
F2 0.261 0.498 0.869
```